# 1
Here is an optimized crystal structure of La8PmHo4 from the Alexandria database. Energies are from PBE-GGA.

Properties
energy of formation = 154 meV per atom
raw total energy = -0.171 hartree per atom

Cell lengths 7.284, 7.281, 10.794 Å; angles 90.00, 109.76, 119.98 degrees
Atoms (fractional coordinates):
La  0.577  0.789  0.367
La  0.423  0.211  0.633
La  0.493  0.246  0.289
La  0.958  0.204  0.711
La  0.507  0.754  0.711
La  0.958  0.754  0.711
La  0.042  0.246  0.289
La  0.042  0.796  0.289
Pm  0.000  0.500  0.500
Ho  0.000  0.000  0.000
Ho  0.000  0.500  0.000
Ho  0.500  0.500  0.000
Ho  0.500  0.000  0.000

---

# 2
Here is an optimized crystal structure of ReOsN from the Alexandria database. Energies are from PBE-GGA.

Properties
ΔE_f (raw) = 0.451 eV/atom
raw total energy = -0.375 hartree per atom

Cell lengths 2.854, 3.892, 9.429 Å; angles 90.00, 98.71, 90.00 degrees
Atoms (fractional coordinates):
Os  0.715  0.750  0.431
Os  0.285  0.250  0.569
N  0.579  0.250  0.159
N  0.421  0.750  0.841
Re  0.857  0.750  0.714
Re  0.143  0.250  0.286

---

# 3
Here is an optimized crystal structure of Sc6Bi2Te3Pb from the Alexandria database. Energies are from PBE-GGA.

Properties
ΔE_f (raw) = -0.853 eV/atom
raw total energy = -0.212 hartree per atom

Cell lengths 4.208, 8.431, 9.424 Å; angles 103.13, 102.90, 90.00 degrees
Atoms (fractional coordinates):
Sc  0.336  0.919  0.673
Sc  0.667  0.582  0.334
Sc  0.664  0.081  0.327
Sc  0.999  0.244  0.999
Sc  0.001  0.756  0.001
Sc  0.333  0.418  0.666
Bi  0.834  0.667  0.667
Bi  0.166  0.333  0.333
Te  0.500  0.500  0.000
Te  0.832  0.167  0.664
Te  0.168  0.833  0.336
Pb  0.500  0.000  0.000

---

# 4
Here is an optimized crystal structure of U2CuAs4 from the Alexandria database. Energies are from PBE-GGA.

Properties
energy of formation = -544 meV per atom
raw total energy = -0.258 hartree per atom

Cell lengths 3.964, 3.964, 9.108 Å; angles 90.00, 90.00, 90.00 degrees
Site moments in Bohr magnetons follow the coordinates.
Atoms (fractional coordinates):
U  0.500  0.000  0.749  1.98
U  0.000  0.500  0.251  1.98
Cu  0.500  0.500  0.000  -0.02
As  0.500  0.000  0.158  -0.07
As  0.000  0.500  0.842  -0.07
As  0.500  0.500  0.500  -0.03
As  0.000  0.000  0.500  -0.03

---

# 5
Here is an optimized crystal structure of Na2SrAg from the Alexandria database. Energies are from PBE-GGA.

Properties
energy above the most stable polymorph in this dataset = 56 meV/atom
energy of formation = -26 meV per atom
raw total energy = -0.067 hartree per atom

Cell lengths 5.929, 4.715, 4.715 Å; angles 90.00, 90.00, 90.00 degrees
Atoms (fractional coordinates):
Sr  0.500  0.000  0.000
Ag  0.500  0.500  0.500
Na  0.000  0.000  0.500
Na  0.000  0.500  0.000

---

# 6
Here is an optimized crystal structure of CaTl2CuCl6 from the Alexandria database. Energies are from PBE-GGA.

Properties
ΔE_f (raw) = -1.233 eV/atom
raw total energy = -0.126 hartree per atom

Cell lengths 5.257, 5.257, 10.053 Å; angles 90.00, 90.00, 90.00 degrees
Site moments in Bohr magnetons follow the coordinates.
Atoms (fractional coordinates):
Ca  0.500  0.500  0.000  0.01
Tl  0.000  0.000  0.721  0.00
Tl  0.000  0.000  0.279  0.00
Cu  0.500  0.500  0.500  0.49
Cl  0.500  0.000  0.000  0.00
Cl  0.500  0.000  0.500  0.11
Cl  0.000  0.500  0.000  0.00
Cl  0.000  0.500  0.500  0.11
Cl  0.500  0.500  0.724  0.07
Cl  0.500  0.500  0.276  0.07

---

# 7
Here is an optimized crystal structure of LiI3 from the Alexandria database. Energies are from PBE-GGA.

Properties
ΔE_f (raw) = -0.447 eV/atom
energy above the most stable polymorph in this dataset = 0 meV/atom
raw total energy = -0.077 hartree per atom

Cell lengths 4.141, 8.464, 6.512 Å; angles 130.53, 108.54, 90.00 degrees
Atoms (fractional coordinates):
I  0.343  0.708  0.686
I  0.500  0.333  0.000
I  0.657  0.022  0.314
Li  0.000  0.103  0.000

---

# 8
Here is an optimized crystal structure of Ba2Li3TmPb4 from the Alexandria database. Energies are from PBE-GGA.

Properties
energy of formation = -419 meV per atom
raw total energy = -0.122 hartree per atom

Cell lengths 4.860, 4.860, 12.889 Å; angles 90.00, 90.00, 90.00 degrees
Atoms (fractional coordinates):
Ba  0.500  0.000  0.244
Ba  0.000  0.500  0.756
Li  0.000  0.000  0.500
Li  0.500  0.000  0.865
Li  0.000  0.500  0.135
Tm  0.500  0.500  0.500
Pb  0.500  0.500  0.000
Pb  0.000  0.000  0.000
Pb  0.500  0.000  0.644
Pb  0.000  0.500  0.356

---

# 9
Here is an optimized crystal structure of Ca8Pd2Au3 from the Alexandria database. Energies are from PBE-GGA.

Properties
energy of formation = -604 meV per atom
raw total energy = -0.125 hartree per atom

Cell lengths 8.766, 8.766, 5.074 Å; angles 90.00, 90.00, 109.01 degrees
Atoms (fractional coordinates):
Ca  0.628  0.372  0.000
Ca  0.372  0.628  0.000
Ca  0.126  0.874  0.000
Ca  0.874  0.126  0.000
Ca  0.124  0.377  0.500
Ca  0.623  0.876  0.500
Ca  0.377  0.124  0.500
Ca  0.876  0.623  0.500
Pd  0.249  0.751  0.500
Pd  0.751  0.249  0.500
Au  0.000  0.000  0.500
Au  0.745  0.745  0.000
Au  0.255  0.255  0.000

---

# 10
Here is an optimized crystal structure of DyH8PdRh2 from the Alexandria database. Energies are from PBE-GGA.

Properties
raw total energy = -0.165 hartree per atom

Cell lengths 4.802, 4.802, 5.878 Å; angles 65.89, 65.89, 60.00 degrees
Atoms (fractional coordinates):
Dy  0.500  0.500  0.500
H  0.183  0.183  0.452
H  0.621  0.323  0.149
H  0.817  0.817  0.548
H  0.907  0.621  0.149
H  0.093  0.379  0.851
H  0.323  0.907  0.149
H  0.677  0.093  0.851
H  0.379  0.677  0.851
Pd  0.000  0.000  0.000
Rh  0.290  0.290  0.131
Rh  0.710  0.710  0.869

---

# 11
Here is an optimized crystal structure of MgCr2Pt from the Alexandria database. Energies are from PBE-GGA.

Properties
energy of formation = -98 meV per atom
raw total energy = -0.251 hartree per atom

Cell lengths 3.129, 3.129, 6.072 Å; angles 90.00, 90.00, 90.00 degrees
Site moments in Bohr magnetons follow the coordinates.
Atoms (fractional coordinates):
Cr  0.000  0.000  0.028  -2.32
Cr  0.500  0.500  0.213  2.41
Mg  0.000  0.000  0.507  0.00
Pt  0.500  0.500  0.752  -0.10

---

# 12
Here is an optimized crystal structure of PmSnS2O from the Alexandria database. Energies are from PBE-GGA.

Properties
ΔE_f (raw) = -1.691 eV/atom
raw total energy = -0.224 hartree per atom

Cell lengths 3.903, 3.903, 13.933 Å; angles 90.00, 90.00, 90.00 degrees
Atoms (fractional coordinates):
Pm  0.500  0.000  0.588
Pm  0.000  0.500  0.412
Sn  0.500  0.000  0.130
Sn  0.000  0.500  0.870
S  0.000  0.500  0.695
S  0.000  0.500  0.101
S  0.500  0.000  0.899
S  0.500  0.000  0.305
O  0.000  0.000  0.500
O  0.500  0.500  0.500

---

- Number 5 is which compound?
  Na2SrAg